[1]
This record from Alexandria via LeMat-Bulk describes crystalline Ac12Si3Rh5 at its relaxed geometry. The functional is GGA-PBE.

abc: 15.528 15.528 15.528
angles: 109.47 109.47 109.47
Positions (direct):
Ac: 0.539 0.214 0.128
Ac: 0.872 0.286 0.461
Rh: 0.625 0.750 0.875
Ac: 0.175 0.086 0.714
Ac: 0.325 0.539 0.410
Ac: 0.090 0.914 0.128
Rh: 0.000 0.500 0.500
Ac: 0.461 0.786 0.872
Ac: 0.714 0.586 0.175
Ac: 0.128 0.414 0.090
Ac: 0.675 0.461 0.590
Si: 0.250 0.625 0.875
Ac: 0.628 0.039 0.214
Rh: 0.250 0.875 0.125
Ac: 0.825 0.910 0.039
Rh: 0.125 0.375 0.250
Ac: 0.539 0.325 0.910
Ac: 0.414 0.286 0.325
Si: 0.250 0.125 0.375
Ac: 0.128 0.714 0.539
Si: 0.750 0.875 0.625
Rh: 0.000 0.500 0.000
Ac: 0.910 0.825 0.539
Si: 0.875 0.125 0.250
Rh: 0.000 0.000 0.500
Ac: 0.325 0.786 0.414
Ac: 0.372 0.410 0.086
Rh: 0.750 0.125 0.875
Ac: 0.372 0.961 0.786
Ac: 0.714 0.128 0.039
Ac: 0.090 0.175 0.461
Si: 0.625 0.375 0.750
Rh: 0.250 0.375 0.625
Rh: 0.125 0.750 0.375
Rh: 0.000 0.000 0.000
Ac: 0.086 0.175 0.214
Ac: 0.961 0.372 0.286
Ac: 0.590 0.961 0.675
Ac: 0.590 0.628 0.414
Si: 0.375 0.625 0.250
Rh: 0.875 0.625 0.750
Si: 0.125 0.250 0.875
Ac: 0.675 0.214 0.586
Si: 0.875 0.750 0.125
Ac: 0.414 0.128 0.590
Ac: 0.961 0.590 0.175
Ac: 0.410 0.039 0.325
Ac: 0.914 0.825 0.786
Ac: 0.586 0.872 0.410
Si: 0.375 0.750 0.625
Ac: 0.214 0.539 0.628
Ac: 0.286 0.872 0.961
Rh: 0.750 0.625 0.375
Ac: 0.586 0.714 0.675
Ac: 0.825 0.914 0.286
Rh: 0.500 0.000 0.000
Rh: 0.875 0.250 0.625
Ac: 0.214 0.675 0.086
Si: 0.125 0.875 0.750
Ac: 0.410 0.372 0.586
Rh: 0.500 0.500 0.500
Si: 0.625 0.250 0.375
Ac: 0.786 0.461 0.372
Ac: 0.914 0.090 0.628
Ac: 0.175 0.090 0.961
Rh: 0.625 0.875 0.250
Rh: 0.500 0.000 0.500
Rh: 0.375 0.125 0.750
Ac: 0.286 0.414 0.825
Rh: 0.375 0.250 0.125
Ac: 0.461 0.675 0.090
Si: 0.750 0.375 0.125
Ac: 0.039 0.410 0.825
Ac: 0.086 0.910 0.372
Ac: 0.786 0.325 0.914
Rh: 0.500 0.500 0.000
Ac: 0.628 0.590 0.914
Ac: 0.910 0.086 0.872
Ac: 0.039 0.628 0.714
Ac: 0.872 0.586 0.910

Results
E_form (uncorrected) in eV/atom: -0.3343

[2]
This record from Alexandria via LeMat-Bulk describes crystalline AlCNO2 at its relaxed geometry. The functional is GGA-PBE.

abc: 3.635 3.635 3.895
angles: 90.00 90.00 90.00
Each line ends with the local moment (μB).
Positions (direct):
N: 0.000 0.000 0.500  0.90
Al: 0.000 0.000 0.000  -0.02
C: 0.500 0.500 0.500  -0.32
O: 0.000 0.500 0.000  0.55
O: 0.500 0.000 0.000  0.55

Results
E_form (uncorrected) in eV/atom: 0.9553

[3]
This record from Alexandria via LeMat-Bulk describes crystalline TaINO2 at its relaxed geometry. The functional is GGA-PBE.

abc: 3.871 3.871 5.962
angles: 90.00 90.00 90.00
Each line ends with the local moment (μB).
Positions (direct):
O: 0.000 0.500 0.000  0.00
I: 0.000 0.000 0.500  0.01
O: 0.500 0.000 0.000  0.00
Ta: 0.000 0.000 0.000  0.16
N: 0.500 0.500 0.500  0.81

Results
E_form (uncorrected) in eV/atom: -0.4589

[4]
This record from Alexandria via LeMat-Bulk describes crystalline LiSmIn2Pd4 at its relaxed geometry. The functional is GGA-PBE.

abc: 4.646 4.646 8.335
angles: 73.82 73.82 60.00
Positions (direct):
Pd: 0.391 0.391 0.827
Sm: 0.000 0.000 0.000
Pd: 0.874 0.874 0.377
Pd: 0.126 0.126 0.623
In: 0.243 0.243 0.271
In: 0.757 0.757 0.729
Pd: 0.609 0.609 0.173
Li: 0.500 0.500 0.500

[5]
This record from Alexandria via LeMat-Bulk describes crystalline Nb2NiSe at its relaxed geometry. The functional is GGA-PBE.

abc: 5.663 5.663 6.872
angles: 65.67 65.67 90.00
Positions (direct):
Nb: 0.375 0.410 0.750
Se: 0.000 0.000 0.000
Se: 0.750 0.250 0.500
Ni: 0.250 0.750 0.500
Nb: 0.160 0.625 0.250
Nb: 0.590 0.125 0.250
Ni: 0.500 0.500 0.000
Nb: 0.875 0.840 0.750

Results
E_form (uncorrected) in eV/atom: 0.4387

[6]
This record from Alexandria via LeMat-Bulk describes crystalline Pm4Sm2ThMg at its relaxed geometry. The functional is GGA-PBE.

abc: 5.929 9.506 5.928
angles: 51.40 90.00 90.00
Positions (direct):
Mg: 0.500 0.500 0.000
Pm: 0.000 0.736 0.764
Th: 0.000 0.500 0.500
Sm: 0.000 0.000 0.000
Pm: 0.500 0.265 0.736
Pm: 0.500 0.735 0.264
Pm: 0.000 0.264 0.236
Sm: 0.500 0.000 0.500

[7]
This record from Alexandria via LeMat-Bulk describes crystalline Ho4CS2Cl at its relaxed geometry. The functional is GGA-PBE.

abc: 3.765 6.560 6.804
angles: 71.52 90.00 90.00
Positions (direct):
S: 0.500 0.000 0.500
S: 0.000 0.000 0.000
Ho: 0.000 0.257 0.287
Cl: 0.500 0.500 0.000
Ho: 0.500 0.280 0.709
C: 0.000 0.500 0.500
Ho: 0.500 0.720 0.291
Ho: 0.000 0.743 0.713

Results
E_form (uncorrected) in eV/atom: -1.4752

[8]
This record from Alexandria via LeMat-Bulk describes crystalline Mg3RhF at its relaxed geometry. The functional is GGA-PBE.

abc: 4.922 4.922 4.922
angles: 90.00 90.00 90.00
Positions (direct):
Mg: 0.500 0.000 0.000
Mg: 0.000 0.000 0.500
Mg: 0.000 0.500 0.000
Rh: 0.000 0.000 0.000
F: 0.500 0.500 0.500

Results
E_form (uncorrected) in eV/atom: -0.3923
Distance to the lowest polymorph of the same formula in meV/atom: 612

[9]
This record from Alexandria via LeMat-Bulk describes crystalline YGa2SeS at its relaxed geometry. The functional is GGA-PBE.

abc: 5.055 5.055 4.860
angles: 90.00 90.00 90.00
Positions (direct):
S: 0.000 0.000 0.500
Y: 0.500 0.500 0.500
Ga: 0.000 0.500 0.000
Ga: 0.500 0.000 0.000
Se: 0.000 0.000 0.000

Results
E_form (uncorrected) in eV/atom: 0.1494

[10]
This record from Alexandria via LeMat-Bulk describes crystalline Li7SnAs4 at its relaxed geometry. The functional is GGA-PBE.

abc: 5.050 6.586 7.768
angles: 84.31 82.55 57.35
Positions (direct):
Li: 0.242 0.454 0.105
Sn: 0.000 0.000 0.000
Li: 0.758 0.546 0.895
As: 0.798 0.891 0.693
Li: 0.104 0.186 0.648
Li: 0.584 0.276 0.426
As: 0.202 0.109 0.307
As: 0.546 0.655 0.233
As: 0.454 0.345 0.767
Li: 0.416 0.724 0.574
Li: 0.896 0.814 0.352
Li: 0.500 0.000 0.000

[11]
This record from Alexandria via LeMat-Bulk describes crystalline ReTeF at its relaxed geometry. The functional is GGA-PBE.

abc: 3.213 3.213 19.773
angles: 90.00 90.00 120.00
Positions (direct):
Re: 0.333 0.667 0.597
F: 0.333 0.667 0.499
Re: 0.000 0.000 0.930
Te: 0.333 0.667 0.026
Te: 0.000 0.000 0.359
F: 0.000 0.000 0.832
Te: 0.667 0.333 0.693
Re: 0.667 0.333 0.263
F: 0.667 0.333 0.166

Results
E_form (uncorrected) in eV/atom: -0.4290
Distance to the lowest polymorph of the same formula in meV/atom: 0

[12]
This record from Alexandria via LeMat-Bulk describes crystalline AcSn3Ru at its relaxed geometry. The functional is GGA-PBE.

abc: 6.285 6.865 6.865
angles: 120.00 90.00 90.00
Positions (direct):
Ru: 0.500 0.000 0.000
Ac: 0.250 0.667 0.333
Sn: 0.750 0.814 0.186
Sn: 0.250 0.186 0.814
Sn: 0.250 0.186 0.371
Sn: 0.750 0.371 0.186
Sn: 0.250 0.629 0.814
Ru: 0.000 0.000 0.000
Sn: 0.750 0.814 0.629
Ac: 0.750 0.333 0.667

Results
Distance to the lowest polymorph of the same formula in meV/atom: 0

[13]
This record from Alexandria via LeMat-Bulk describes crystalline LiTmPaGa at its relaxed geometry. The functional is GGA-PBE.

abc: 4.993 4.993 4.993
angles: 60.00 60.00 60.00
Positions (direct):
Li: 0.750 0.750 0.750
Ga: 0.250 0.250 0.250
Pa: 0.500 0.500 0.500
Tm: 0.000 0.000 0.000

[14]
This record from Alexandria via LeMat-Bulk describes crystalline Tb2PrDySe6 at its relaxed geometry. The functional is GGA-PBE.

abc: 7.314 7.314 7.774
angles: 61.94 61.94 59.99
Positions (direct):
Se: 0.129 0.398 0.750
Tb: 0.012 0.012 0.963
Tb: 0.516 0.516 0.451
Dy: 0.318 0.318 0.046
Se: 0.225 0.917 0.248
Pr: 0.812 0.812 0.563
Se: 0.398 0.723 0.750
Se: 0.610 0.225 0.248
Se: 0.917 0.610 0.248
Se: 0.723 0.129 0.750

Results
E_form (uncorrected) in eV/atom: -1.8475

[15]
This record from Alexandria via LeMat-Bulk describes crystalline MnReNi2 at its relaxed geometry. The functional is GGA-PBE.

abc: 2.598 2.598 7.265
angles: 90.00 90.00 89.97
Each line ends with the local moment (μB).
Positions (direct):
Mn: 0.500 0.500 0.766  2.33
Re: 0.000 0.000 0.493  -0.07
Ni: 0.500 0.500 0.239  0.16
Ni: 0.000 0.000 0.002  0.42

Results
Distance to the lowest polymorph of the same formula in meV/atom: 33

[16]
This record from Alexandria via LeMat-Bulk describes crystalline LaTePdI2 at its relaxed geometry. The functional is GGA-PBE.

abc: 5.369 5.369 5.593
angles: 90.00 90.00 90.00
Each line ends with the local moment (μB).
Positions (direct):
Te: 0.000 0.000 0.500  -0.01
I: 0.500 0.000 0.000  0.00
I: 0.000 0.500 0.000  0.00
La: 0.500 0.500 0.500  0.24
Pd: 0.000 0.000 0.000  0.00

Results
E_form (uncorrected) in eV/atom: -0.5682
Distance to the lowest polymorph of the same formula in meV/atom: 0

| no. | VASP energy (eV/atom) |
| --- | --- |
| 1 | -5.4506 |
| 2 | -5.2863 |
| 3 | -6.7878 |
| 4 | -4.7632 |
| 5 | -6.9126 |
| 6 | -4.5818 |
| 7 | -6.1797 |
| 8 | -3.1936 |
| 9 | -3.8765 |
| 10 | -3.4480 |
| 11 | -6.2494 |
| 12 | -5.4429 |
| 13 | -4.7064 |
| 14 | -5.8024 |
| 15 | -8.2568 |
| 16 | -3.8406 |